# 1
## Rb2PtRh (PBE)

Data for Rb2PtRh after structural relaxation.

Output
Energy relative to the lowest polymorph listed for this composition ... 0.505 eV/atom
Crystal system ... cubic
Energy of formation ... 0.972 eV/atom

Lattice parameters (Å, degrees): 7.7188 7.7188 7.7188 90.00 90.00 90.00
Closest atoms and distances in Å follow each position.
Fractional coordinates of all 16 atoms:
Rb (0.2500, 0.2500, 0.2500)  4 Rh 3.34, 4 Pt 3.34
Rb (0.2500, 0.2500, 0.7500)  4 Rh 3.34, 4 Pt 3.34
Rb (0.2500, 0.7500, 0.2500)  4 Rh 3.34, 4 Pt 3.34
Rb (0.2500, 0.7500, 0.7500)  4 Rh 3.34, 4 Pt 3.34
Rb (0.7500, 0.2500, 0.2500)  4 Rh 3.34, 4 Pt 3.34
Rb (0.7500, 0.2500, 0.7500)  4 Rh 3.34, 4 Pt 3.34
Rb (0.7500, 0.7500, 0.2500)  4 Rh 3.34, 4 Pt 3.34
Rb (0.7500, 0.7500, 0.7500)  4 Rh 3.34, 4 Pt 3.34
Pt (0.0000, 0.0000, 0.0000)  8 Rb 3.34
Pt (0.0000, 0.5000, 0.5000)  8 Rb 3.34
Pt (0.5000, 0.0000, 0.5000)  8 Rb 3.34
Pt (0.5000, 0.5000, 0.0000)  8 Rb 3.34
Rh (0.0000, 0.0000, 0.5000)  8 Rb 3.34
Rh (0.0000, 0.5000, 0.0000)  8 Rb 3.34
Rh (0.5000, 0.0000, 0.0000)  8 Rb 3.34
Rh (0.5000, 0.5000, 0.5000)  8 Rb 3.34

---

# 2
## CuTeS2Cl (PBE)

Data for CuTeS2Cl after structural relaxation.

Output
Energy relative to the lowest polymorph listed for this composition ... 0.329 eV/atom
Crystal system ... tetragonal
Energy relative to the elements, uncorrected ... 59.6 kJ per mole of atoms

Lattice parameters (Å, degrees): 5.0871 5.0871 5.1904 90.00 90.00 90.00
Closest atoms and distances in Å follow each position.
Fractional coordinates of all 5 atoms:
Cu (0.0000, 0.0000, 0.0000)  4 Cl 3.60, 8 S 3.63
Te (0.5000, 0.5000, 0.5000)  4 S 2.54, 2 Cl 2.60
S (0.0000, 0.5000, 0.5000)  2 Te 2.54
S (0.5000, 0.0000, 0.5000)  2 Te 2.54
Cl (0.5000, 0.5000, 0.0000)  2 Te 2.60

---

# 3
## Tm3Ni8Ge (PBE)

Data for Tm3Ni8Ge after structural relaxation.

Output
Crystal system ... trigonal
Energy of formation ... -0.448 eV/atom

Lattice parameters (Å, degrees): 8.5580 8.5580 8.5580 33.85 33.85 33.85
Closest atoms and distances in Å follow each position.
Fractional coordinates of all 12 atoms:
Tm (0.0000, 0.0000, 0.0000)  12 Ni 2.90-2.92, 4 Tm 3.14-3.17
Tm (0.1300, 0.1300, 0.1300)  12 Ni 2.79-2.99, 3 Ge 2.92
Tm (0.6121, 0.6121, 0.6121)  9 Ni 2.77-2.99
Ni (0.0591, 0.5629, 0.5629)  6 Ni 2.47-2.51, 1 Ge 2.57
Ni (0.0606, 0.0606, 0.5644)  6 Ni 2.45-2.51
Ni (0.0606, 0.5644, 0.0606)  6 Ni 2.45-2.51
Ni (0.3119, 0.3119, 0.3119)  6 Ni 2.48
Ni (0.5629, 0.0591, 0.5629)  6 Ni 2.47-2.51, 1 Ge 2.57
Ni (0.5629, 0.5629, 0.0591)  6 Ni 2.47-2.51, 1 Ge 2.57
Ni (0.5644, 0.0606, 0.0606)  6 Ni 2.45-2.51
Ni (0.8128, 0.8128, 0.8128)  6 Ni 2.45-2.49
Ge (0.4829, 0.4829, 0.4829)  6 Ni 2.57-2.88